(1)
Below is a relaxed PmHoSc2S6 crystal, with properties calculated at the PBE level.

Calculated values
**Uncorrected formation energy**: -1.954 eV per atom

Unit cell a=6.7565 b=6.7564 c=7.1091 alpha=61.63 beta=61.63 gamma=60.00
Atoms (fractional coordinates):
Pm: 0.8064 0.8064 0.5808
Ho: 0.3131 0.3131 0.0607
Sc: 0.5142 0.5141 0.4576
Sc: 0.0111 0.0113 0.9664
S: 0.6297 0.2373 0.2412
S: 0.2373 0.8917 0.2412
S: 0.8918 0.6297 0.2413
S: 0.3755 0.7367 0.7420
S: 0.7366 0.1458 0.7420
S: 0.1459 0.3755 0.7420

---

(2)
Below is a relaxed ZrIn2Pt crystal, with properties calculated at the PBE level.

Calculated values
**Formation enthalpy at 0 K**: -0.24 eV per atom

Unit cell a=4.8450 b=4.8450 c=4.8450 alpha=60.00 beta=60.00 gamma=60.00
Atoms (fractional coordinates):
Zr: 0.0000 0.0000 0.0000
Pt: 0.5000 0.5000 0.5000
In: 0.2500 0.2500 0.2500
In: 0.7500 0.7500 0.7500

---

(3)
Below is a relaxed ErPuPtRh crystal, with properties calculated at the PBE level.

Calculated values
**Formation enthalpy at 0 K**: -0.87 eV per atom
**E above lowest polymorph**: 0.00 kJ/mol of atoms

Unit cell a=3.7606 b=4.1974 c=5.7622 alpha=90.00 beta=109.05 gamma=90.00
Each line ends with the local moment (μB).
Atoms (fractional coordinates):
Er: 0.1425 0.0000 0.2850  0.10
Pu: 0.8632 0.5000 0.7263  5.03
Pt: 0.5887 0.5000 0.1774  -0.01
Rh: 0.4056 0.0000 0.8113  -0.26

---

| no. | density of states at the Fermi level (states/eV/f.u.) |
| --- | --- |
| 1 | 0.000 |
| 2 | 2.637 |
| 3 | 11.157 |